w) RbLaFeTe3 | PBE | relaxed

Structure (CIF):
```
data_RbLaFeTe3
_cell_length_a 4.526
_cell_length_b 16.226
_cell_length_c 12.045
_cell_angle_alpha 90.00
_cell_angle_beta 90.00
_cell_angle_gamma 90.00
_symmetry_space_group_name_H-M 'C m c m'
_symmetry_Int_Tables_number 63
_symmetry_space_group_name_Hall '-C 2c 2'
loop_
_atom_site_label
_atom_site_type_symbol
_atom_site_fract_x
_atom_site_fract_y
_atom_site_fract_z
Rb1 Rb 0.000 0.244 0.250
La1 La 0.000 0.500 0.000
Fe1 Fe 0.000 0.033 0.750
Te1 Te 0.000 0.129 0.574
Te2 Te 0.000 0.438 0.750
```

The magnetic moment comes out at 15.991 μB per cell.

x) RbLaFeTe3 | PBE | relaxed

Structure (CIF):
```
data_RbLaFeTe3
_cell_length_a 12.574
_cell_length_b 4.715
_cell_length_c 13.804
_cell_angle_alpha 90.00
_cell_angle_beta 90.00
_cell_angle_gamma 90.00
_symmetry_space_group_name_H-M 'P n m a'
_symmetry_Int_Tables_number 62
_symmetry_space_group_name_Hall '-P 2ac 2n'
loop_
_atom_site_label
_atom_site_type_symbol
_atom_site_fract_x
_atom_site_fract_y
_atom_site_fract_z
Rb1 Rb 0.177 0.250 0.004
La1 La 0.020 0.250 0.675
Fe1 Fe 0.245 0.250 0.295
Te1 Te 0.052 0.750 0.834
Te2 Te 0.108 0.250 0.440
Te3 Te 0.215 0.750 0.206
```

The magnetic moment comes out at 16.000 μB per cell.

Of them, x) has the lowest stability.

w) LaTlFeSe3 | PBE | relaxed

Structure (CIF):
```
data_LaTlFeSe3
_cell_length_a 8.361
_cell_length_b 4.218
_cell_length_c 10.652
_cell_angle_alpha 90.00
_cell_angle_beta 106.14
_cell_angle_gamma 90.00
_symmetry_space_group_name_H-M 'P 1 21/m 1'
_symmetry_Int_Tables_number 11
_symmetry_space_group_name_Hall '-P 2yb'
loop_
_atom_site_label
_atom_site_type_symbol
_atom_site_fract_x
_atom_site_fract_y
_atom_site_fract_z
La1 La 0.205 0.250 0.138
Tl1 Tl 0.211 0.750 0.688
Fe1 Fe 0.435 0.750 0.415
Se1 Se 0.044 0.250 0.853
Se2 Se 0.278 0.250 0.440
Se3 Se 0.471 0.750 0.195
```

The magnetic moment comes out at 7.997 μB per cell.

x) LaTlFeSe3 | PBE | relaxed

Structure (CIF):
```
data_LaTlFeSe3
_cell_length_a 8.914
_cell_length_b 4.401
_cell_length_c 16.448
_cell_angle_alpha 90.00
_cell_angle_beta 90.00
_cell_angle_gamma 90.00
_symmetry_space_group_name_H-M 'P n m a'
_symmetry_Int_Tables_number 62
_symmetry_space_group_name_Hall '-P 2ac 2n'
loop_
_atom_site_label
_atom_site_type_symbol
_atom_site_fract_x
_atom_site_fract_y
_atom_site_fract_z
La1 La 0.223 0.250 0.052
Tl1 Tl 0.069 0.750 0.298
Fe1 Fe 0.142 0.750 0.866
Se1 Se 0.009 0.250 0.901
Se2 Se 0.139 0.250 0.456
Se3 Se 0.193 0.750 0.724
```

The magnetic moment comes out at 16.015 μB per cell.

y) LaTlFeSe3 | PBE | relaxed

Structure (CIF):
```
data_LaTlFeSe3
_cell_length_a 4.265
_cell_length_b 14.619
_cell_length_c 11.455
_cell_angle_alpha 90.00
_cell_angle_beta 90.00
_cell_angle_gamma 90.00
_symmetry_space_group_name_H-M 'C m c m'
_symmetry_Int_Tables_number 63
_symmetry_space_group_name_Hall '-C 2c 2'
loop_
_atom_site_label
_atom_site_type_symbol
_atom_site_fract_x
_atom_site_fract_y
_atom_site_fract_z
La1 La 0.000 0.000 0.000
Tl1 Tl 0.000 0.249 0.250
Fe1 Fe 0.000 0.470 0.750
Se1 Se 0.000 0.063 0.750
Se2 Se 0.000 0.369 0.581
```

The magnetic moment comes out at 15.982 μB per cell.

z) LaTlFeSe3 | PBE | relaxed

Structure (CIF):
```
data_LaTlFeSe3
_cell_length_a 17.683
_cell_length_b 4.379
_cell_length_c 9.035
_cell_angle_alpha 90.00
_cell_angle_beta 113.88
_cell_angle_gamma 90.00
_symmetry_space_group_name_H-M 'C 1 2/m 1'
_symmetry_Int_Tables_number 12
_symmetry_space_group_name_Hall '-C 2y'
loop_
_atom_site_label
_atom_site_type_symbol
_atom_site_fract_x
_atom_site_fract_y
_atom_site_fract_z
La1 La 0.190 0.000 0.154
Tl1 Tl 0.127 0.000 0.594
Fe1 Fe 0.002 0.500 0.153
Se1 Se 0.000 0.000 0.000
Se2 Se 0.000 0.500 0.500
Se3 Se 0.151 0.500 0.337
Se4 Se 0.152 0.500 0.906
```

The magnetic moment comes out at 15.580 μB per cell.

Of them, z) has the lowest stability.

w) LaSmFe | PBE | relaxed

Structure (CIF):
```
data_LaSmFe
_cell_length_a 6.818
_cell_length_b 6.818
_cell_length_c 6.818
_cell_angle_alpha 90.00
_cell_angle_beta 90.00
_cell_angle_gamma 90.00
_symmetry_space_group_name_H-M 'F -4 3 m'
_symmetry_Int_Tables_number 216
_symmetry_space_group_name_Hall 'F -4 2 3'
loop_
_atom_site_label
_atom_site_type_symbol
_atom_site_fract_x
_atom_site_fract_y
_atom_site_fract_z
La1 La 0.000 0.000 0.000
Sm1 Sm 0.000 0.000 0.500
Fe1 Fe 0.250 0.250 0.250
```

The magnetic moment comes out at 1.262 μB per cell.

x) LaSmFe | PBE | relaxed

Structure (CIF):
```
data_LaSmFe
_cell_length_a 8.4438
_cell_length_b 8.4438
_cell_length_c 3.3084
_cell_angle_alpha 90.00
_cell_angle_beta 90.00
_cell_angle_gamma 120.00
_symmetry_space_group_name_H-M 'P -6 2 m'
_symmetry_Int_Tables_number 189
_symmetry_space_group_name_Hall 'P -6 -2'
loop_
_atom_site_label
_atom_site_type_symbol
_atom_site_fract_x
_atom_site_fract_y
_atom_site_fract_z
La1 La 0.0000 0.3135 0.0000
Sm1 Sm 0.0000 0.0000 0.5000
Sm2 Sm 0.3333 0.6667 0.0000
Fe1 Fe 0.0000 0.6435 0.5000
```

The magnetic moment comes out at 0.008 μB per cell.

Of them, x) has the lowest stability.

w) LaThFe | PBE | relaxed

Structure (CIF):
```
data_LaThFe
_cell_length_a 5.1876
_cell_length_b 5.1876
_cell_length_c 3.0634
_cell_angle_alpha 90.00
_cell_angle_beta 90.00
_cell_angle_gamma 120.00
_symmetry_space_group_name_H-M 'P -6 m 2'
_symmetry_Int_Tables_number 187
_symmetry_space_group_name_Hall 'P -6 2'
loop_
_atom_site_label
_atom_site_type_symbol
_atom_site_fract_x
_atom_site_fract_y
_atom_site_fract_z
La1 La 0.0000 0.0000 0.0000
Th1 Th 0.6667 0.3333 0.0000
Fe1 Fe 0.3333 0.6667 0.0000
```

The magnetic moment comes out at 1.577 μB per cell.

x) LaThFe | PBE | relaxed

Structure (CIF):
```
data_LaThFe
_cell_length_a 6.833
_cell_length_b 6.833
_cell_length_c 6.833
_cell_angle_alpha 90.00
_cell_angle_beta 90.00
_cell_angle_gamma 90.00
_symmetry_space_group_name_H-M 'F -4 3 m'
_symmetry_Int_Tables_number 216
_symmetry_space_group_name_Hall 'F -4 2 3'
loop_
_atom_site_label
_atom_site_type_symbol
_atom_site_fract_x
_atom_site_fract_y
_atom_site_fract_z
La1 La 0.000 0.000 0.000
Th1 Th 0.000 0.000 0.500
Fe1 Fe 0.250 0.250 0.250
```

The magnetic moment comes out at 0.002 μB per cell.

Of them, w) has the lowest stability.

w) LiLuFeSe3 | PBE | relaxed

Structure (CIF):
```
data_LiLuFeSe3
_cell_length_a 7.790
_cell_length_b 3.887
_cell_length_c 9.495
_cell_angle_alpha 90.00
_cell_angle_beta 102.69
_cell_angle_gamma 90.00
_symmetry_space_group_name_H-M 'P 1 21/m 1'
_symmetry_Int_Tables_number 11
_symmetry_space_group_name_Hall '-P 2yb'
loop_
_atom_site_label
_atom_site_type_symbol
_atom_site_fract_x
_atom_site_fract_y
_atom_site_fract_z
Li1 Li 0.173 0.250 0.138
Lu1 Lu 0.334 0.750 0.845
Fe1 Fe 0.067 0.250 0.585
Se1 Se 0.073 0.250 0.844
Se2 Se 0.244 0.750 0.536
Se3 Se 0.410 0.750 0.149
```

The magnetic moment comes out at 7.351 μB per cell.

x) LiLuFeSe3 | PBE | relaxed

Structure (CIF):
```
data_LiLuFeSe3
_cell_length_a 13.081
_cell_length_b 3.859
_cell_length_c 10.852
_cell_angle_alpha 90.00
_cell_angle_beta 90.00
_cell_angle_gamma 90.00
_symmetry_space_group_name_H-M 'P n m a'
_symmetry_Int_Tables_number 62
_symmetry_space_group_name_Hall '-P 2ac 2n'
loop_
_atom_site_label
_atom_site_type_symbol
_atom_site_fract_x
_atom_site_fract_y
_atom_site_fract_z
Li1 Li 0.239 0.250 0.103
Lu1 Lu 0.012 0.250 0.340
Fe1 Fe 0.009 0.750 0.079
Se1 Se 0.107 0.750 0.885
Se2 Se 0.120 0.250 0.562
Se3 Se 0.140 0.750 0.238
```

The magnetic moment comes out at 14.742 μB per cell.

y) LiLuFeSe3 | PBE | relaxed

Structure (CIF):
```
data_LiLuFeSe3
_cell_length_a 3.915
_cell_length_b 12.925
_cell_length_c 10.568
_cell_angle_alpha 90.00
_cell_angle_beta 90.00
_cell_angle_gamma 90.00
_symmetry_space_group_name_H-M 'C m c m'
_symmetry_Int_Tables_number 63
_symmetry_space_group_name_Hall '-C 2c 2'
loop_
_atom_site_label
_atom_site_type_symbol
_atom_site_fract_x
_atom_site_fract_y
_atom_site_fract_z
Li1 Li 0.000 0.220 0.250
Lu1 Lu 0.000 0.000 0.000
Fe1 Fe 0.000 0.478 0.750
Se1 Se 0.000 0.093 0.750
Se2 Se 0.000 0.359 0.575
```

The magnetic moment comes out at 15.963 μB per cell.

Of them, y) has the lowest stability.

w) LiLuFeSn | PBE | relaxed

Structure (CIF):
```
data_LiLuFeSn
_cell_length_a 6.679
_cell_length_b 6.679
_cell_length_c 6.679
_cell_angle_alpha 90.00
_cell_angle_beta 90.00
_cell_angle_gamma 90.00
_symmetry_space_group_name_H-M 'F -4 3 m'
_symmetry_Int_Tables_number 216
_symmetry_space_group_name_Hall 'F -4 2 3'
loop_
_atom_site_label
_atom_site_type_symbol
_atom_site_fract_x
_atom_site_fract_y
_atom_site_fract_z
Li1 Li 0.000 0.000 0.000
Lu1 Lu 0.250 0.250 0.250
Fe1 Fe 0.250 0.250 0.750
Sn1 Sn 0.000 0.000 0.500
```

The magnetic moment comes out at 8.150 μB per cell.

x) LiLuFeSn | PBE | relaxed

Structure (CIF):
```
data_LiLuFeSn
_cell_length_a 6.531
_cell_length_b 6.531
_cell_length_c 6.531
_cell_angle_alpha 90.00
_cell_angle_beta 90.00
_cell_angle_gamma 90.00
_symmetry_space_group_name_H-M 'F -4 3 m'
_symmetry_Int_Tables_number 216
_symmetry_space_group_name_Hall 'F -4 2 3'
loop_
_atom_site_label
_atom_site_type_symbol
_atom_site_fract_x
_atom_site_fract_y
_atom_site_fract_z
Li1 Li 0.000 0.000 0.000
Lu1 Lu 0.250 0.250 0.750
Fe1 Fe 0.000 0.000 0.500
Sn1 Sn 0.250 0.250 0.250
```

The magnetic moment comes out at 7.662 μB per cell.

Of them, w) has the lowest stability.

w) LiLuFeTe3 | PBE | relaxed

Structure (CIF):
```
data_LiLuFeTe3
_cell_length_a 4.097
_cell_length_b 14.267
_cell_length_c 11.107
_cell_angle_alpha 90.00
_cell_angle_beta 90.00
_cell_angle_gamma 90.00
_symmetry_space_group_name_H-M 'C m c m'
_symmetry_Int_Tables_number 63
_symmetry_space_group_name_Hall '-C 2c 2'
loop_
_atom_site_label
_atom_site_type_symbol
_atom_site_fract_x
_atom_site_fract_y
_atom_site_fract_z
Li1 Li 0.000 0.196 0.250
Lu1 Lu 0.000 0.000 0.000
Fe1 Fe 0.000 0.473 0.750
Te1 Te 0.000 0.089 0.750
Te2 Te 0.000 0.356 0.569
```

The magnetic moment comes out at 14.718 μB per cell.

x) LiLuFeTe3 | PBE | relaxed

Structure (CIF):
```
data_LiLuFeTe3
_cell_length_a 8.364
_cell_length_b 4.072
_cell_length_c 9.781
_cell_angle_alpha 90.00
_cell_angle_beta 102.43
_cell_angle_gamma 90.00
_symmetry_space_group_name_H-M 'P 1 21/m 1'
_symmetry_Int_Tables_number 11
_symmetry_space_group_name_Hall '-P 2yb'
loop_
_atom_site_label
_atom_site_type_symbol
_atom_site_fract_x
_atom_site_fract_y
_atom_site_fract_z
Li1 Li 0.186 0.250 0.253
Lu1 Lu 0.334 0.750 0.844
Fe1 Fe 0.065 0.250 0.576
Te1 Te 0.071 0.250 0.846
Te2 Te 0.254 0.750 0.523
Te3 Te 0.406 0.750 0.162
```

The magnetic moment comes out at 6.993 μB per cell.

Of them, w) has the lowest stability.

w) LiZnFeMo | PBE | relaxed

Structure (CIF):
```
data_LiZnFeMo
_cell_length_a 5.842
_cell_length_b 5.842
_cell_length_c 5.842
_cell_angle_alpha 90.00
_cell_angle_beta 90.00
_cell_angle_gamma 90.00
_symmetry_space_group_name_H-M 'F -4 3 m'
_symmetry_Int_Tables_number 216
_symmetry_space_group_name_Hall 'F -4 2 3'
loop_
_atom_site_label
_atom_site_type_symbol
_atom_site_fract_x
_atom_site_fract_y
_atom_site_fract_z
Li1 Li 0.000 0.000 0.000
Zn1 Zn 0.250 0.250 0.250
Fe1 Fe 0.000 0.000 0.500
Mo1 Mo 0.250 0.250 0.750
```

The magnetic moment comes out at 3.125 μB per cell.

x) LiZnFeMo | PBE | relaxed

Structure (CIF):
```
data_LiZnFeMo
_cell_length_a 5.975
_cell_length_b 5.975
_cell_length_c 5.975
_cell_angle_alpha 90.00
_cell_angle_beta 90.00
_cell_angle_gamma 90.00
_symmetry_space_group_name_H-M 'F -4 3 m'
_symmetry_Int_Tables_number 216
_symmetry_space_group_name_Hall 'F -4 2 3'
loop_
_atom_site_label
_atom_site_type_symbol
_atom_site_fract_x
_atom_site_fract_y
_atom_site_fract_z
Li1 Li 0.000 0.000 0.000
Zn1 Zn 0.000 0.000 0.500
Fe1 Fe 0.250 0.250 0.750
Mo1 Mo 0.250 0.250 0.250
```

The magnetic moment comes out at 10.301 μB per cell.

Of them, x) has the lowest stability.